Tb3ZnIr2: relaxed, PBE.

Geometry as POSCAR:
```
Tb3ZnIr2
1.0
11.674 0.000 0.000
0.000 4.055 0.000
0.000 0.000 11.514
Tb Zn Ir
12 4 8
Cartesian
0.566 1.014 1.428 Tb
1.509 3.041 6.634 Tb
2.345 1.014 9.497 Tb
3.492 3.041 3.739 Tb
4.328 1.014 0.877 Tb
5.271 3.041 7.185 Tb
6.404 1.014 4.329 Tb
7.346 3.041 10.637 Tb
8.182 1.014 7.775 Tb
9.329 3.041 2.018 Tb
10.165 1.014 4.880 Tb
11.108 3.041 10.086 Tb
1.439 1.014 4.385 Zn
4.398 3.041 10.142 Zn
7.276 1.014 1.372 Zn
10.236 3.041 7.129 Zn
0.106 3.041 3.567 Ir
2.152 3.041 11.480 Ir
3.685 1.014 5.722 Ir
5.731 1.014 9.324 Ir
5.943 3.041 2.190 Ir
7.989 3.041 5.792 Ir
9.522 1.014 0.035 Ir
11.569 1.014 7.947 Ir
```

Computed properties:
Its space-group type is No. 62. Its energy relative to the elements is -0.682 eV per atom. The electronic total energy is -147.9 eV/cell. The value obtained for the total magnetic moment is 0.00 μB per atom.

***

TbZn4Ir2: relaxed, PBE.

Geometry as POSCAR:
```
TbZn4Ir2
1.0
7.629 0.000 0.000
0.000 7.629 0.000
0.000 0.000 4.111
Tb Zn Ir
2 8 4
Cartesian
0.000 0.000 0.000 Tb
3.814 3.814 2.055 Tb
0.718 2.656 2.055 Zn
1.158 4.533 0.000 Zn
2.656 0.718 2.055 Zn
3.096 6.471 0.000 Zn
4.533 1.158 0.000 Zn
4.973 6.911 2.055 Zn
6.471 3.096 0.000 Zn
6.911 4.973 2.055 Zn
1.622 6.007 2.055 Ir
2.192 2.192 0.000 Ir
5.437 5.437 0.000 Ir
6.007 1.622 2.055 Ir
```

Computed properties:
Its space-group type is No. 136. Its energy relative to the elements is -0.397 eV per atom. The electronic total energy is -60.4 eV/cell. The value obtained for the total magnetic moment is 0.00 μB per atom.

***

TbZn8Ir4: relaxed, PBE.

Geometry as POSCAR:
```
TbZn8Ir4
1.0
-4.305 4.305 2.810
4.305 -4.305 2.810
4.305 4.305 -2.810
Tb Zn Ir
1 8 4
Cartesian
0.000 0.000 0.000 Tb
2.895 0.000 0.000 Zn
5.716 0.000 0.000 Zn
4.305 2.365 0.000 Zn
0.000 2.895 0.000 Zn
2.365 4.305 0.000 Zn
1.940 0.000 2.810 Zn
0.000 5.716 0.000 Zn
0.000 1.940 2.810 Zn
2.153 2.153 -1.405 Ir
2.153 -2.153 1.405 Ir
-2.153 2.153 1.405 Ir
2.153 2.153 1.405 Ir
```

Computed properties:
Its space-group type is No. 139. Its energy relative to the elements is -0.334 eV per atom. The electronic total energy is -54.6 eV/cell. The value obtained for the total magnetic moment is 0.00 μB per atom.

***

Tb4ZnIr2: relaxed, PBE.

Geometry as POSCAR:
```
Tb4ZnIr2
1.0
2.324 1.342 9.457
-2.324 1.342 9.457
0.000 -2.684 9.457
Tb Zn Ir
4 1 2
Cartesian
0.000 0.000 3.232 Tb
0.000 0.000 8.417 Tb
0.000 0.000 19.952 Tb
0.000 0.000 25.138 Tb
0.000 0.000 14.185 Zn
0.000 0.000 11.552 Ir
0.000 0.000 16.817 Ir
```

Computed properties:
Its space-group type is No. 166. Its energy relative to the elements is -0.609 eV per atom. The electronic total energy is -41.8 eV/cell. The value obtained for the total magnetic moment is 0.00 μB per atom.

***

Tb2ZnIr2: relaxed, PBE.

Geometry as POSCAR:
```
Tb2ZnIr2
1.0
5.015 -2.714 0.000
5.015 2.714 0.000
-2.234 0.000 7.581
Tb Zn Ir
4 2 4
Cartesian
1.653 1.890 6.467 Tb
5.026 1.890 4.905 Tb
2.770 -1.890 2.676 Tb
6.143 -1.890 1.114 Tb
4.457 0.748 1.895 Zn
3.340 -0.748 5.686 Zn
2.555 0.816 3.677 Ir
6.358 0.816 0.113 Ir
1.438 -0.816 7.468 Ir
5.241 -0.816 3.904 Ir
```

Computed properties:
Its space-group type is No. 15. Its energy relative to the elements is -0.754 eV per atom. The electronic total energy is -64.1 eV/cell. The value obtained for the total magnetic moment is 0.00 μB per atom.

***

Tb4Zn3Ir: relaxed, PBE.

Geometry as POSCAR:
```
Tb4Zn3Ir
1.0
3.562 0.000 0.000
0.000 3.562 0.000
0.000 0.000 14.136
Tb Zn Ir
4 3 1
Cartesian
0.000 0.000 1.615 Tb
0.000 0.000 5.272 Tb
0.000 0.000 8.864 Tb
0.000 0.000 12.521 Tb
1.781 1.781 3.513 Zn
1.781 1.781 7.068 Zn
1.781 1.781 10.623 Zn
1.781 1.781 0.000 Ir
```

Computed properties:
Its space-group type is No. 123. Its energy relative to the elements is -0.473 eV per atom. The electronic total energy is -35.0 eV/cell. The value obtained for the total magnetic moment is 0.00 μB per atom.